Entry 1:
Below is an optimized crystal structure of K2Re3Se6, with properties calculated at the GGA-PBE level.

Computed properties:
total energy: -67.77 eV per formula unit
calculated volume: 25.3 A^3/atom
calculated density: 6.635 g/cm³
total magnetic moment: 0.00 μB per cell

a = 10.105 Å, b = 10.105 Å, c = 12.506 Å
α = 91.27°, β = 91.27°, γ = 60.56°
Positions (direct):
K 0.103 0.897 0.750
K 0.149 0.624 0.982
K 0.283 0.717 0.250
K 0.376 0.851 0.518
K 0.624 0.149 0.482
K 0.717 0.283 0.750
K 0.851 0.376 0.018
K 0.897 0.103 0.250
Re 0.029 0.388 0.625
Re 0.101 0.318 0.420
Re 0.184 0.496 0.526
Re 0.318 0.101 0.920
Re 0.388 0.029 0.125
Re 0.496 0.184 0.026
Re 0.504 0.816 0.974
Re 0.612 0.971 0.875
Re 0.682 0.899 0.080
Re 0.816 0.504 0.474
Re 0.899 0.682 0.580
Re 0.971 0.612 0.375
Se 0.052 0.781 0.481
Se 0.060 0.236 0.805
Se 0.109 0.561 0.721
Se 0.214 0.300 0.070
Se 0.219 0.948 0.019
Se 0.236 0.060 0.305
Se 0.249 0.427 0.331
Se 0.300 0.214 0.570
Se 0.427 0.249 0.831
Se 0.432 0.503 0.581
Se 0.439 0.891 0.779
Se 0.497 0.568 0.919
Se 0.503 0.432 0.081
Se 0.561 0.109 0.221
Se 0.568 0.497 0.419
Se 0.573 0.751 0.169
Se 0.700 0.786 0.430
Se 0.751 0.573 0.669
Se 0.764 0.940 0.695
Se 0.781 0.052 0.981
Se 0.786 0.700 0.930
Se 0.891 0.439 0.279
Se 0.940 0.764 0.195
Se 0.948 0.219 0.519

***

Entry 2:
Below is an optimized crystal structure of KRe3Se5, with properties calculated at the GGA-PBE level.

Computed properties:
total energy: -55.96 eV per formula unit
calculated volume: 24.1 A^3/atom
calculated density: 7.590 g/cm³
total magnetic moment: 2.61 μB per cell

a = 5.806 Å, b = 5.806 Å, c = 7.439 Å
α = 90.00°, β = 90.00°, γ = 120.00°
Positions (direct):
K 0.000 0.000 0.000
Re 0.000 0.500 0.500
Re 0.500 0.000 0.500
Re 0.500 0.500 0.500
Se 0.000 0.000 0.500
Se 0.333 0.667 0.247
Se 0.333 0.667 0.753
Se 0.667 0.333 0.247
Se 0.667 0.333 0.753

***

Entry 3:
Below is an optimized crystal structure of K2ReSe3, with properties calculated at the GGA-PBE level.

Computed properties:
total energy: -28.78 eV per formula unit
calculated volume: 32.2 A^3/atom
calculated density: 4.315 g/cm³
total magnetic moment: 1.28 μB per cell

a = 6.992 Å, b = 7.549 Å, c = 8.654 Å
α = 74.56°, β = 68.60°, γ = 66.41°
Positions (direct):
K 0.106 0.197 0.121
K 0.347 0.563 0.304
K 0.653 0.437 0.696
K 0.894 0.803 0.879
Re 0.385 0.052 0.657
Re 0.615 0.948 0.343
Se 0.169 0.380 0.709
Se 0.248 0.958 0.484
Se 0.373 0.816 0.903
Se 0.627 0.184 0.097
Se 0.752 0.042 0.516
Se 0.831 0.620 0.291

***

Entry 4:
Below is an optimized crystal structure of KRe3Si5, with properties calculated at the GGA-PBE level.

Computed properties:
total energy: -63.07 eV per formula unit
calculated volume: 21.7 A^3/atom
calculated density: 6.281 g/cm³
total magnetic moment: 0.01 μB per cell

a = 5.198 Å, b = 5.198 Å, c = 8.340 Å
α = 90.00°, β = 90.00°, γ = 120.00°
Positions (direct):
K 0.000 0.000 0.000
Re 0.000 0.500 0.500
Re 0.500 0.000 0.500
Re 0.500 0.500 0.500
Si 0.000 0.000 0.500
Si 0.333 0.667 0.246
Si 0.333 0.667 0.754
Si 0.667 0.333 0.246
Si 0.667 0.333 0.754